#P
Pm2SmZn2 after structural relaxation, computed with PBE.

- ρ (g cm⁻³) = 7.00
- SG = P2_1/m (11)
- V (Å³ per atom) = 27.08

Lattice parameters (Å, degrees): 4.443 4.606 13.435 99.91 90.00 90.00
Sites, in units of the cell vectors:
Pm: 0.250 0.943 0.890
Pm: 0.750 0.057 0.110
Pm: 0.250 0.264 0.527
Pm: 0.750 0.736 0.473
Sm: 0.250 0.637 0.270
Sm: 0.750 0.363 0.730
Zn: 0.250 0.833 0.665
Zn: 0.750 0.167 0.335
Zn: 0.250 0.522 0.048
Zn: 0.750 0.478 0.952

=====

#Q
Pm2SmZn2 after structural relaxation, computed with PBE.

- ρ (g cm⁻³) = 7.19
- SG = P2_1/m (11)
- V (Å³ per atom) = 26.37

Lattice parameters (Å, degrees): 3.699 5.257 13.686 90.00 97.80 90.00
Sites, in units of the cell vectors:
Pm: 0.046 0.750 0.092
Pm: 0.954 0.250 0.908
Pm: 0.232 0.750 0.464
Pm: 0.768 0.250 0.536
Sm: 0.857 0.750 0.716
Sm: 0.143 0.250 0.284
Zn: 0.640 0.750 0.279
Zn: 0.360 0.250 0.721
Zn: 0.450 0.750 0.901
Zn: 0.550 0.250 0.099

=====

Tell me which of them is the most stable. Sure, it is #Q.

=====

#P
PmSmZn after structural relaxation, computed with PBE.

- ρ (g cm⁻³) = 6.57
- SG = F-43m (216)
- V (Å³ per atom) = 30.41

Lattice parameters (Å, degrees): 5.053 5.053 5.053 60.00 60.00 60.00
Sites, in units of the cell vectors:
Zn: 0.250 0.250 0.250
Sm: 0.000 0.000 0.000
Pm: 0.500 0.500 0.500

=====

#Q
PmSmZn after structural relaxation, computed with PBE.

- ρ (g cm⁻³) = 7.19
- SG = I4mm (107)
- V (Å³ per atom) = 27.77

Lattice parameters (Å, degrees): 3.667 3.667 6.716 105.84 105.84 90.00
Sites, in units of the cell vectors:
Zn: 0.666 0.666 0.331
Sm: 0.023 0.023 0.045
Pm: 0.312 0.312 0.624

=====

#R
PmSmZn after structural relaxation, computed with PBE.

- ρ (g cm⁻³) = 7.27
- SG = P3m1 (156)
- V (Å³ per atom) = 27.47

Lattice parameters (Å, degrees): 3.757 5.033 5.033 120.00 90.00 90.00
Sites, in units of the cell vectors:
Zn: 0.339 0.333 0.667
Sm: 0.611 0.667 0.333
Pm: 0.050 0.000 0.000

=====

Tell me which of them is the most stable. Sure, it is #Q.

=====

#P
Pm2Sm2Zn after structural relaxation, computed with PBE.

- ρ (g cm⁻³) = 6.58
- SG = I4/mmm (139)
- V (Å³ per atom) = 33.13

Lattice parameters (Å, degrees): 4.261 4.261 9.609 102.81 102.81 90.00
Sites, in units of the cell vectors:
Pm: 0.750 0.250 0.500
Pm: 0.250 0.750 0.500
Sm: 0.416 0.416 0.831
Sm: 0.584 0.584 0.169
Zn: 0.000 0.000 0.000

=====

#Q
Pm2Sm2Zn after structural relaxation, computed with PBE.

- ρ (g cm⁻³) = 7.20
- SG = I4/mmm (139)
- V (Å³ per atom) = 30.25

Lattice parameters (Å, degrees): 3.651 3.651 11.636 99.03 99.03 90.00
Sites, in units of the cell vectors:
Pm: 0.806 0.806 0.613
Pm: 0.194 0.194 0.387
Sm: 0.579 0.579 0.158
Sm: 0.421 0.421 0.842
Zn: 0.000 0.000 0.000

=====

Tell me which of them is the most stable. Sure, it is #Q.